[1]
Material: Hf8FeSe2
Method: DFT, GGA-PBE
State: optimized geometry

As for the density of states at the Fermi level: 0.942 states/eV per atom. The raw formation energy comes out at -100.3 meV per atom. For the total magnetization, the calculation gives 0.0000 μB per atom.

The space group is C2/m (No. 12) and the conventional cell measures 11.9511, 6.1436 and 7.6829 Å, with angles of 90.00, 110.10 and 90.00 degrees. The distinct sites, in fractional coordinates, are Hf at (0.1119, 0.0000, 0.1727), Hf at (0.1227, 0.2503, 0.8539), Hf at (0.1852, 0.5000, 0.2426), Fe at (0.0000, 0.5000, 0.0000) and Se at (0.1645, 0.5000, 0.5820).



[2]
Material: ZrPb2Au
Method: DFT, GGA-PBE
State: optimized geometry

As for the energy of formation: -0.18 eV per atom. The value obtained for the distance to the lowest polymorph of the same formula is 0.000 eV per atom. As for the density of states at the Fermi level: 0.577 states/eV per atom. For the total magnetization, the calculation gives 0.0000 μB per atom.

The space group is P4mm (No. 99) and the conventional cell measures 3.3900, 3.3900 and 8.8780 Å, with angles of 90.00, 90.00 and 90.00 degrees. The distinct sites, in fractional coordinates, are Zr at (0.0000, 0.0000, 0.0000), Pb at (0.0000, 0.0000, 0.4197), Pb at (0.5000, 0.5000, 0.7460) and Au at (0.5000, 0.5000, 0.1818).



[3]
Material: Pm12TmRh7
Method: DFT, GGA-PBE
State: optimized geometry

As for the energy of formation: -0.49 eV per atom. As for the density of states at the Fermi level: 0.871 states/eV per atom. For the total magnetization, the calculation gives 0.0000 μB per atom.

The space group is R-3 (No. 148, hexagonal axes) and the conventional cell measures 14.3631, 14.3631 and 9.9460 Å, with angles of 90.00, 90.00 and 120.00 degrees. The distinct sites, in fractional coordinates, are Pm at (0.0269, 0.5870, 0.1629), Pm at (0.0478, 0.1763, 0.8321), Tm at (0.0000, 0.0000, 0.5000), Rh at (0.0000, 0.0000, 0.0000) and Rh at (0.0480, 0.1802, 0.3329).



- The lowest density of states at the Fermi level belongs to which entry?
  ZrPb2Au



- Look up the density of states at the Fermi level of the first one.
  0.942 states/eV per atom



- The lowest density of states at the Fermi level belongs to which entry?
  ZrPb2Au



- Which formula does entry 3 have?
  Pm12TmRh7